Record 1
Entry from Alexandria via LeMat-Bulk: an optimized crystal structure of Sm3Cd2In (PBE).

Unit cell a=3.773 b=3.773 c=11.768 alpha=90.00 beta=90.00 gamma=90.00
Element x y z (fractional)
In: 0.500 0.500 0.500
Sm: 0.000 0.000 0.669
Sm: 0.000 0.000 0.331
Sm: 0.000 0.000 0.000
Cd: 0.500 0.500 0.837
Cd: 0.500 0.500 0.163

Computed properties:
The calculation puts the calculated total energy at -20.96 eV per cell. Its energy above the most stable polymorph in this dataset is 2 meV/atom. The calculation puts the energy of formation from the pure elements at -373 meV/atom. As for the space group: P4/mmm, No. 123.


Record 2
Entry from Alexandria via LeMat-Bulk: an optimized crystal structure of SmCdIn (PBE).

Unit cell a=4.956 b=6.173 c=6.176 alpha=73.10 beta=66.35 gamma=66.33
Element x y z (fractional)
In: 0.833 0.656 0.679
In: 0.167 0.344 0.321
Sm: 0.491 0.762 0.257
Sm: 0.509 0.238 0.743
Cd: 0.835 0.184 0.146
Cd: 0.165 0.816 0.854

Computed properties:
The calculation puts the calculated total energy at -19.28 eV per cell. The calculation puts the energy of formation from the pure elements at -422 meV/atom. As for the space group: C2/m, No. 12.


Record 3
Entry from Alexandria via LeMat-Bulk: an optimized crystal structure of Sm12CdIn6 (PBE).

Unit cell a=8.957 b=8.957 c=8.957 alpha=107.14 beta=107.14 gamma=107.14
Element x y z (fractional)
In: 0.757 0.341 0.646
In: 0.659 0.354 0.243
In: 0.243 0.659 0.354
In: 0.646 0.757 0.341
In: 0.354 0.243 0.659
In: 0.341 0.646 0.757
Sm: 0.411 0.066 0.321
Sm: 0.589 0.934 0.679
Sm: 0.066 0.321 0.411
Sm: 0.339 0.035 0.891
Sm: 0.661 0.965 0.109
Sm: 0.891 0.339 0.035
Sm: 0.965 0.109 0.661
Sm: 0.321 0.411 0.066
Sm: 0.934 0.679 0.589
Sm: 0.035 0.891 0.339
Sm: 0.679 0.589 0.934
Sm: 0.109 0.661 0.965
Cd: 0.000 0.000 0.000

Computed properties:
The calculation puts the calculated total energy at -76.45 eV per cell. The calculation puts the energy of formation from the pure elements at -130 meV/atom. As for the space group: R-3, No. 148.


Record 4
Entry from Alexandria via LeMat-Bulk: an optimized crystal structure of SmCdIn (PBE).

Unit cell a=10.099 b=10.099 c=8.589 alpha=135.08 beta=135.08 gamma=78.20
Element x y z (fractional)
In: 0.625 0.375 0.250
In: 0.625 0.875 0.250
In: 0.125 0.375 0.750
In: 0.625 0.375 0.750
Sm: 0.194 0.194 0.000
Sm: 0.444 0.944 0.500
Sm: 0.806 0.806 0.000
Sm: 0.056 0.556 0.500
Cd: 0.202 0.202 0.403
Cd: 0.452 0.952 0.903
Cd: 0.048 0.548 0.097
Cd: 0.798 0.798 0.597

Computed properties:
The calculation puts the calculated total energy at -34.74 eV per cell. The calculation puts the energy of formation from the pure elements at -104 meV/atom. As for the space group: Fddd, No. 70.